{
  "formula": "CeDy6Tm2",
  "functional": "GGA-PBE",
  "state": "optimized geometry",
  "lattice_angstrom": [[5.772, -0.427, -3.056], [-1.836, 5.488, -3.056], [2.409, 3.098, 14.325]],
  "species": ["Tm", "Dy", "Ce", "Ce", "Dy", "Dy", "Tm", "Dy", "Dy", "Tm", "Dy", "Dy", "Tm", "Dy", "Dy", "Dy", "Dy", "Dy"],
  "fractional_positions": [[0.320, 0.486, 0.327], [0.152, 0.986, 0.160], [0.252, 0.748, 0.750], [0.748, 0.252, 0.250], [0.014, 0.848, 0.340], [0.415, 0.915, 0.585], [0.514, 0.680, 0.173], [0.085, 0.585, 0.915], [0.346, 0.181, 0.007], [0.486, 0.320, 0.827], [0.654, 0.819, 0.993], [0.986, 0.152, 0.660], [0.680, 0.514, 0.673], [0.915, 0.415, 0.085], [0.585, 0.085, 0.415], [0.848, 0.014, 0.840], [0.181, 0.346, 0.507], [0.819, 0.654, 0.493]],
  "energy_ev_per_cell": -83.395,
  "e_form_ev_per_fu": 0.79,
  "sg": "C2/c (15)",
  "polymorph_energy_ev_per_atom": 0.0000
}

---

{
  "formula": "SbPSeN2",
  "functional": "GGA-PBE",
  "state": "optimized geometry",
  "lattice_angstrom": [[3.925, 0.000, 0.000], [0.000, 3.925, 0.000], [0.000, 0.000, 6.284]],
  "species": ["N", "P", "Sb", "Se", "N"],
  "fractional_positions": [[0.000, 0.500, 0.000], [0.500, 0.500, 0.500], [0.000, 0.000, 0.000], [0.000, 0.000, 0.500], [0.500, 0.000, 0.000]],
  "energy_ev_per_cell": -22.268,
  "sg": "P4/mmm (123)",
  "e_form_raw_mev_per_atom": 1480,
  "polymorph_energy_ev_per_atom": 0.4099
}

---

{
  "formula": "BeTcBr3",
  "functional": "GGA-PBE",
  "state": "optimized geometry",
  "lattice_angstrom": [[4.858, 0.000, 0.000], [0.000, 4.858, 0.000], [0.000, 0.000, 4.858]],
  "species": ["Br", "Br", "Be", "Tc", "Br"],
  "fractional_positions": [[0.000, 0.500, 0.000], [0.500, 0.000, 0.000], [0.000, 0.000, 0.000], [0.500, 0.500, 0.500], [0.000, 0.000, 0.500]],
  "energy_ev_per_cell": -16.742,
  "sg": "Pm-3m (221)",
  "e_form_raw_mev_per_atom": 474
}

---

{
  "formula": "Cd8ClO6",
  "functional": "GGA-PBE",
  "state": "optimized geometry",
  "lattice_angstrom": [[-1.871, 1.964, -2.170], [-1.575, -7.384, -5.323], [-5.814, 2.061, 6.877]],
  "species": ["Cd", "Cd", "Cd", "O", "Cd", "O", "Cd", "O", "Cd", "O", "O", "O", "Cd", "Cl", "Cd"],
  "fractional_positions": [[0.264, 0.971, 0.319], [0.736, 0.319, 0.347], [0.264, 0.681, 0.653], [0.235, 0.853, 0.548], [0.769, 0.667, 0.333], [0.765, 0.548, 0.695], [0.231, 0.333, 0.667], [0.235, 0.695, 0.147], [0.736, 0.653, 0.971], [0.765, 0.305, 0.853], [0.765, 0.147, 0.452], [0.235, 0.452, 0.305], [0.736, 0.029, 0.681], [0.500, 0.000, 0.000], [0.264, 0.347, 0.029]],
  "energy_ev_per_cell": -50.198,
  "sg": "P-3 (147)",
  "e_form_raw_mev_per_atom": -752
}

---

{
  "formula": "NdDyMgAg",
  "functional": "GGA-PBE",
  "state": "optimized geometry",
  "lattice_angstrom": [[5.326, 0.000, 0.000], [2.663, 4.613, 0.000], [2.663, 1.538, 4.349]],
  "species": ["Mg", "Ag", "Dy", "Nd"],
  "fractional_positions": [[0.750, 0.750, 0.750], [0.250, 0.250, 0.250], [0.000, 0.000, 0.000], [0.500, 0.500, 0.500]],
  "energy_ev_per_cell": -14.363,
  "e_form_ev_per_fu": -0.55,
  "sg": "F-43m (216)",
  "polymorph_energy_ev_per_atom": 0.0471
}

---

{
  "formula": "CsHg3Sb",
  "functional": "GGA-PBE",
  "state": "optimized geometry",
  "lattice_angstrom": [[5.195, 0.000, 0.000], [0.000, 5.917, -2.443], [0.000, -0.587, 6.966]],
  "species": ["Hg", "Hg", "Cs", "Hg", "Sb"],
  "fractional_positions": [[0.500, 0.714, 0.428], [0.000, 0.282, 0.564], [0.500, 0.034, 0.069], [0.000, 0.568, 0.136], [0.500, 0.362, 0.723]],
  "energy_ev_per_cell": -6.444,
  "sg": "Amm2 (38)",
  "e_form_raw_mev_per_atom": -113,
  "polymorph_energy_ev_per_atom": 0.0980
}

---

{
  "formula": "NpPaSbOs",
  "functional": "GGA-PBE",
  "state": "optimized geometry",
  "lattice_angstrom": [[4.929, 0.000, 0.000], [2.464, 4.268, 0.000], [2.464, 1.423, 4.024]],
  "species": ["Np", "Pa", "Os", "Sb"],
  "fractional_positions": [[0.250, 0.250, 0.250], [0.500, 0.500, 0.500], [0.750, 0.750, 0.750], [0.000, 0.000, 0.000]],
  "energy_ev_per_cell": -37.246,
  "sg": "F-43m (216)",
  "e_form_raw_mev_per_atom": 136
}

---

{
  "formula": "AcCoBiRh",
  "functional": "GGA-PBE",
  "state": "optimized geometry",
  "lattice_angstrom": [[-3.180, -2.303, 3.107], [-3.996, -2.397, -1.832], [-0.196, -5.002, 0.128]],
  "species": ["Ac", "Co", "Bi", "Rh"],
  "fractional_positions": [[0.750, 0.750, 0.750], [0.000, 0.000, 0.000], [0.250, 0.250, 0.250], [0.500, 0.500, 0.500]],
  "energy_ev_per_cell": -22.729,
  "e_form_ev_per_fu": -0.28,
  "sg": "F-43m (216)"
}

---

{
  "formula": "Th3Hg2Au8",
  "functional": "GGA-PBE",
  "state": "optimized geometry",
  "lattice_angstrom": [[5.469, 0.000, 0.000], [2.735, 4.736, 0.000], [2.735, 1.579, 12.457]],
  "species": ["Au", "Au", "Au", "Hg", "Au", "Hg", "Th", "Au", "Th", "Au", "Th", "Au", "Au"],
  "fractional_positions": [[0.702, 0.197, 0.399], [0.298, 0.298, 0.601], [0.197, 0.702, 0.399], [0.392, 0.392, 0.825], [0.702, 0.702, 0.399], [0.608, 0.608, 0.175], [0.239, 0.239, 0.284], [0.298, 0.803, 0.601], [0.000, 0.000, 0.000], [0.684, 0.684, 0.949], [0.761, 0.761, 0.716], [0.316, 0.316, 0.051], [0.803, 0.298, 0.601]],
  "energy_ev_per_cell": -52.418,
  "e_form_ev_per_fu": -3.34,
  "sg": "R-3m (166)"
}

---

{
  "formula": "Cd5BiAu2",
  "functional": "GGA-PBE",
  "state": "optimized geometry",
  "lattice_angstrom": [[3.899, 0.000, -1.101], [-0.816, 6.041, -2.890], [0.219, 0.200, 8.230]],
  "species": ["Au", "Cd", "Au", "Cd", "Bi", "Cd", "Cd", "Cd"],
  "fractional_positions": [[0.191, 0.691, 0.383], [0.645, 0.371, 0.289], [0.809, 0.309, 0.617], [0.000, 0.500, 0.000], [0.000, 0.000, 0.000], [0.355, 0.082, 0.711], [0.355, 0.629, 0.711], [0.645, 0.918, 0.289]],
  "energy_ev_per_cell": -15.413,
  "e_form_ev_per_fu": -0.40,
  "sg": "Immm (71)"
}

---

{
  "formula": "Tm5Ga3",
  "functional": "GGA-PBE",
  "state": "optimized geometry",
  "lattice_angstrom": [[5.850, 0.000, 0.000], [2.925, 8.134, 0.000], [2.925, 0.000, 8.134]],
  "species": ["Tm", "Ga", "Ga", "Tm", "Tm", "Ga", "Ga", "Tm", "Tm", "Tm", "Tm", "Ga", "Tm", "Tm", "Tm", "Ga"],
  "fractional_positions": [[0.083, 0.130, 0.703], [0.160, 0.500, 0.180], [0.340, 0.820, 0.500], [0.714, 0.870, 0.703], [0.286, 0.130, 0.297], [0.840, 0.500, 0.820], [0.660, 0.180, 0.500], [0.750, 0.500, 0.500], [0.583, 0.703, 0.130], [0.417, 0.297, 0.870], [0.250, 0.500, 0.500], [0.750, 0.000, 0.000], [0.786, 0.297, 0.130], [0.917, 0.870, 0.297], [0.214, 0.703, 0.870], [0.250, 0.000, 0.000]],
  "energy_ev_per_cell": -70.709,
  "e_form_ev_per_fu": -3.92,
  "sg": "I4/mcm (140)",
  "polymorph_energy_ev_per_atom": 0.0113
}

---

{
  "formula": "Zn2Ag3Cl8",
  "functional": "GGA-PBE",
  "state": "optimized geometry",
  "lattice_angstrom": [[-3.178, -5.636, -1.343], [3.904, -0.521, -7.056], [3.278, -1.345, 6.540]],
  "species": ["Zn", "Cl", "Cl", "Cl", "Cl", "Zn", "Cl", "Ag", "Cl", "Ag", "Cl", "Cl", "Ag"],
  "fractional_positions": [[0.629, 0.683, 0.366], [0.246, 0.615, 0.754], [0.241, 0.122, 0.243], [0.271, 0.643, 0.286], [0.729, 0.357, 0.714], [0.371, 0.317, 0.634], [0.754, 0.385, 0.246], [0.500, 0.000, 0.000], [0.246, 0.139, 0.754], [0.000, 0.714, 0.000], [0.754, 0.861, 0.246], [0.759, 0.878, 0.757], [0.000, 0.286, 0.000]],
  "energy_ev_per_cell": -35.162,
  "sg": "C2/m (12)",
  "e_form_raw_mev_per_atom": -714
}

---

{
  "formula": "VMoOs",
  "functional": "GGA-PBE",
  "state": "optimized geometry",
  "lattice_angstrom": [[3.032, 0.000, -0.001], [0.000, 3.025, -0.191], [0.003, -2.402, 9.731]],
  "species": ["V", "Mo", "Mo", "Os", "V", "Os"],
  "fractional_positions": [[0.847, 0.172, 0.338], [0.347, 0.507, 0.173], [0.847, 0.483, 0.650], [0.347, 0.142, 0.812], [0.347, 0.818, 0.486], [0.847, 0.848, 0.012]],
  "energy_ev_per_cell": -61.917,
  "e_form_ev_per_fu": 0.22,
  "sg": "P2_1/m (11)",
  "polymorph_energy_ev_per_atom": 0.1481
}

---

{
  "formula": "NbAlSeBr2",
  "functional": "GGA-PBE",
  "state": "optimized geometry",
  "lattice_angstrom": [[-0.754, 4.282, -2.431], [-4.530, -1.567, -1.355], [-1.962, 2.039, 4.200]],
  "species": ["Br", "Al", "Se", "Nb", "Br"],
  "fractional_positions": [[0.500, 0.000, 0.000], [0.000, 0.000, 0.000], [0.000, 0.000, 0.500], [0.500, 0.500, 0.500], [0.000, 0.500, 0.000]],
  "energy_ev_per_cell": -19.076,
  "sg": "P4/mmm (123)",
  "e_form_raw_mev_per_atom": 313,
  "polymorph_energy_ev_per_atom": 0.4659
}

---

{
  "formula": "Li2Ca",
  "functional": "GGA-PBE",
  "state": "optimized geometry",
  "lattice_angstrom": [[-2.249, 2.249, 8.526], [2.249, -2.249, 8.526], [2.249, 2.249, -8.526]],
  "species": ["Ca", "Li", "Li", "Li", "Li", "Ca"],
  "fractional_positions": [[0.750, 0.250, 0.500], [0.581, 0.581, 0.000], [0.419, 0.419, 0.000], [0.331, 0.831, 0.500], [0.169, 0.669, 0.500], [0.000, 0.000, 0.000]],
  "energy_ev_per_cell": -11.135,
  "e_form_ev_per_fu": 0.26,
  "sg": "I4_1/amd (141)",
  "polymorph_energy_ev_per_atom": 0.0985
}

---

{
  "formula": "Sr2CaTl",
  "functional": "GGA-PBE",
  "state": "optimized geometry",
  "lattice_angstrom": [[4.273, 0.003, 0.000], [-2.135, 7.274, 0.000], [0.000, 0.000, 10.801]],
  "species": ["Sr", "Tl", "Ca", "Sr", "Tl", "Sr", "Sr", "Ca"],
  "fractional_positions": [[0.639, 0.277, 0.060], [0.734, 0.468, 0.750], [0.934, 0.868, 0.250], [0.639, 0.277, 0.440], [0.266, 0.532, 0.250], [0.361, 0.723, 0.560], [0.361, 0.723, 0.940], [0.066, 0.132, 0.750]],
  "energy_ev_per_cell": -17.298,
  "e_form_ev_per_fu": -0.92,
  "sg": "P2_1/m (11)",
  "polymorph_energy_ev_per_atom": 0.0033
}

---

{
  "formula": "BaSiHg",
  "functional": "GGA-PBE",
  "state": "optimized geometry",
  "lattice_angstrom": [[-1.969, 1.898, 3.701], [0.496, -4.131, 5.243], [4.672, 2.681, 3.972]],
  "species": ["Ba", "Si", "Si", "Hg", "Hg", "Ba"],
  "fractional_positions": [[0.759, 0.741, 0.741], [0.000, 0.148, 0.852], [0.000, 0.852, 0.148], [0.500, 0.686, 0.314], [0.500, 0.314, 0.686], [0.241, 0.259, 0.259]],
  "energy_ev_per_cell": -17.689,
  "sg": "Immm (71)",
  "e_form_raw_mev_per_atom": -399
}

---

{
  "formula": "La2UPaN5",
  "functional": "GGA-PBE",
  "state": "optimized geometry",
  "lattice_angstrom": [[4.153, 0.000, 0.000], [0.000, 4.153, 0.000], [0.000, 0.000, 8.927]],
  "species": ["U", "La", "La", "N", "N", "N", "N", "N", "Pa"],
  "fractional_positions": [[0.000, 0.000, 0.500], [0.500, 0.500, 0.730], [0.500, 0.500, 0.270], [0.500, 0.000, 0.500], [0.000, 0.000, 0.769], [0.000, 0.000, 0.231], [0.000, 0.500, 0.500], [0.500, 0.500, 0.000], [0.000, 0.000, 0.000]],
  "energy_ev_per_cell": -83.857,
  "sg": "P4/mmm (123)",
  "e_form_raw_mev_per_atom": -1288
}

---

{
  "formula": "KRb3Co2Cl8",
  "functional": "GGA-PBE",
  "state": "optimized geometry",
  "lattice_angstrom": [[7.628, 0.000, 0.000], [-3.814, 6.606, 0.000], [0.000, 0.000, 9.389]],
  "species": ["Rb", "Cl", "Co", "Cl", "Cl", "Cl", "Co", "Cl", "Cl", "Cl", "Rb", "Cl", "Rb", "K"],
  "fractional_positions": [[0.667, 0.333, 0.369], [0.824, 0.176, 0.701], [0.333, 0.667, 0.202], [0.824, 0.648, 0.701], [0.176, 0.824, 0.299], [0.333, 0.667, 0.967], [0.667, 0.333, 0.798], [0.667, 0.333, 0.033], [0.648, 0.824, 0.299], [0.176, 0.352, 0.299], [0.000, 0.000, 0.000], [0.352, 0.176, 0.701], [0.333, 0.667, 0.631], [0.000, 0.000, 0.500]],
  "energy_ev_per_cell": -52.064,
  "sg": "P-3m1 (164)",
  "e_form_raw_mev_per_atom": -1363
}

---

{
  "formula": "ReTc2P",
  "functional": "GGA-PBE",
  "state": "optimized geometry",
  "lattice_angstrom": [[-2.251, -1.639, -0.794], [-0.721, -0.356, 2.781], [-3.784, 5.341, -0.297]],
  "species": ["Tc", "Tc", "P", "Re"],
  "fractional_positions": [[0.500, 0.500, 0.279], [0.000, 0.000, 0.000], [0.000, 0.000, 0.497], [0.500, 0.500, 0.723]],
  "energy_ev_per_cell": -39.333,
  "e_form_ev_per_fu": -0.74,
  "sg": "P4mm (99)"
}

---

{
  "formula": "MgMn3N",
  "functional": "GGA-PBE",
  "state": "optimized geometry",
  "lattice_angstrom": [[-3.011, -2.297, 0.622], [2.370, -2.802, 1.123], [-0.218, 1.265, 3.617]],
  "species": ["Mg", "Mn", "N", "Mn", "Mn"],
  "fractional_positions": [[0.500, 0.500, 0.500], [0.000, 0.000, 0.500], [0.000, 0.000, 0.000], [0.500, 0.000, 0.000], [0.000, 0.500, 0.000]],
  "energy_ev_per_cell": -38.082,
  "sg": "Pm-3m (221)",
  "e_form_raw_mev_per_atom": -131,
  "polymorph_energy_ev_per_atom": 0.0000
}

---

{
  "formula": "Cs2CdHg",
  "functional": "GGA-PBE",
  "state": "optimized geometry",
  "lattice_angstrom": [[-3.282, -0.129, 4.203], [0.892, -5.578, 0.525], [4.956, 4.054, 3.995]],
  "species": ["Cd", "Cs", "Cs", "Hg"],
  "fractional_positions": [[0.000, 0.677, 0.355], [0.500, 0.272, 0.545], [0.000, 0.978, 0.957], [0.500, 0.571, 0.142]],
  "energy_ev_per_cell": -3.515,
  "e_form_ev_per_fu": -0.59,
  "sg": "Amm2 (38)",
  "polymorph_energy_ev_per_atom": 0.0050
}

---

{
  "formula": "MgTi5",
  "functional": "GGA-PBE",
  "state": "optimized geometry",
  "lattice_angstrom": [[-0.968, -2.567, -4.950], [0.779, -4.368, -3.512], [-5.429, -4.214, 1.315]],
  "species": ["Ti", "Ti", "Ti", "Ti", "Mg", "Ti"],
  "fractional_positions": [[0.669, 0.669, 0.673], [0.337, 0.337, 0.331], [0.934, 0.934, 0.618], [0.002, 0.002, 0.982], [0.607, 0.607, 0.286], [0.284, 0.284, 0.944]],
  "energy_ev_per_cell": -40.574,
  "e_form_ev_per_fu": 0.50,
  "sg": "Cm (8)",
  "polymorph_energy_ev_per_atom": 0.0217
}

---

{
  "formula": "La4Ta",
  "functional": "GGA-PBE",
  "state": "optimized geometry",
  "lattice_angstrom": [[5.772, 0.000, 0.000], [0.000, 5.772, 0.000], [0.000, 0.000, 5.772]],
  "species": ["Ta", "La", "La", "La", "La"],
  "fractional_positions": [[0.500, 0.500, 0.500], [0.500, 0.000, 0.500], [0.500, 0.500, 0.000], [0.000, 0.500, 0.500], [0.000, 0.000, 0.000]],
  "energy_ev_per_cell": -28.990,
  "e_form_ev_per_fu": 2.57,
  "sg": "Pm-3m (221)"
}

---

{
  "formula": "LaTb4In3",
  "functional": "GGA-PBE",
  "state": "optimized geometry",
  "lattice_angstrom": [[3.527, 0.000, 0.000], [0.000, 8.731, -1.050], [-1.764, -3.440, 8.210]],
  "species": ["In", "Tb", "Tb", "Tb", "La", "Tb", "In", "In"],
  "fractional_positions": [[0.812, 0.812, 0.624], [0.640, 0.443, 0.280], [0.640, 0.836, 0.280], [0.360, 0.164, 0.720], [0.500, 0.000, 0.000], [0.360, 0.557, 0.720], [0.188, 0.188, 0.376], [0.000, 0.500, 0.000]],
  "energy_ev_per_cell": -33.555,
  "e_form_ev_per_fu": -1.89,
  "sg": "Immm (71)"
}